{"formula": "CaNd2Sm4", "functional": "GGA-PBE", "state": "relaxed", "dft_energy_ev_per_cell": -30.190, "e_form_ev_per_atom": 0.03, "n_ef_per_ev_cell": 10.5, "lattice": [[1.833, 1.058, 21.150], [-1.833, 1.058, 21.150], [0.000, -2.116, 21.150]], "species": ["Ca", "Nd", "Nd", "Sm", "Sm", "Sm", "Sm"], "frac_coords": [[0.000, 0.000, 0.000], [0.429, 0.429, 0.429], [0.571, 0.571, 0.571], [0.144, 0.144, 0.144], [0.283, 0.283, 0.283], [0.717, 0.717, 0.717], [0.856, 0.856, 0.856]]}